No. 1
Computed, not measured: Sr2InSi after structural relaxation at the PBE level of DFT.

The structure in POSCAR format:
```
Sr2InSi
1.0
-4.385 4.385 3.612
4.385 -4.385 3.612
4.385 4.385 -3.612
Sr In Si
4 2 2
direct
0.093 0.125 0.468
0.375 0.907 0.032
0.657 0.625 0.532
0.875 0.343 0.968
0.250 0.750 0.500
0.500 0.500 0.000
0.000 0.000 0.000
0.750 0.250 0.500
```

- formation energy without anion corrections (eV per atom) = 0.05
- space group = I-42d, No. 122
- density of states at the Fermi level (states/eV/f.u.) = 5.3

=====

No. 2
Computed, not measured: SrTaIn2Si after structural relaxation at the PBE level of DFT.

The structure in POSCAR format:
```
SrTaIn2Si
1.0
5.396 0.000 0.000
0.000 5.396 0.000
0.000 0.000 4.964
Sr Ta In Si
1 1 2 1
direct
0.000 0.000 0.000
0.500 0.500 0.500
0.000 0.500 0.500
0.500 0.000 0.500
0.500 0.500 0.000
```

- formation energy without anion corrections (eV per atom) = 0.07
- space group = P4/mmm, No. 123
- density of states at the Fermi level (states/eV/f.u.) = 2.7

=====

No. 3
Computed, not measured: TaInSi2 after structural relaxation at the PBE level of DFT.

The structure in POSCAR format:
```
TaInSi2
1.0
4.410 -1.655 0.000
4.410 1.655 0.000
-1.177 0.000 5.149
Ta In Si
1 1 2
direct
0.000 0.000 0.000
0.500 0.500 0.500
0.267 0.267 0.839
0.733 0.733 0.161
```

- formation energy without anion corrections (eV per atom) = 0.16
- space group = C2/m, No. 12
- density of states at the Fermi level (states/eV/f.u.) = 2.2

=====

No. 4
Computed, not measured: TaIn2Si after structural relaxation at the PBE level of DFT.

The structure in POSCAR format:
```
TaIn2Si
1.0
3.121 0.000 0.000
0.000 4.733 0.000
-1.476 0.000 5.472
Ta In Si
1 2 1
direct
0.000 0.000 0.000
0.274 0.000 0.536
0.608 0.500 0.230
0.884 0.500 0.775
```

- formation energy without anion corrections (eV per atom) = 0.25
- space group = Pm, No. 6
- density of states at the Fermi level (states/eV/f.u.) = 1.6

=====

No. 5
Computed, not measured: TaInSi3 after structural relaxation at the PBE level of DFT.

The structure in POSCAR format:
```
TaInSi3
1.0
4.895 0.000 0.000
0.000 4.895 0.000
0.000 0.000 4.895
Ta In Si
1 1 3
direct
0.000 0.000 0.000
0.500 0.500 0.500
0.000 0.500 0.500
0.500 0.000 0.500
0.500 0.500 0.000
```

- formation energy without anion corrections (eV per atom) = 1.90
- space group = Pm-3m, No. 221
- density of states at the Fermi level (states/eV/f.u.) = 6.3
- distance to the lowest polymorph of the same formula (meV per atom) = 1381

=====

No. 6
Computed, not measured: TaIn2Si2 after structural relaxation at the PBE level of DFT.

The structure in POSCAR format:
```
TaIn2Si2
1.0
7.421 0.000 0.000
0.000 7.421 0.000
0.000 0.000 3.596
Ta In Si
2 4 4
direct
0.000 0.000 0.000
0.500 0.500 0.000
0.135 0.365 0.000
0.365 0.865 0.000
0.635 0.135 0.000
0.865 0.635 0.000
0.172 0.672 0.500
0.328 0.172 0.500
0.672 0.828 0.500
0.828 0.328 0.500
```

- formation energy without anion corrections (eV per atom) = 0.75
- space group = P4/mbm, No. 127
- density of states at the Fermi level (states/eV/f.u.) = 3.3
- distance to the lowest polymorph of the same formula (meV per atom) = 284

=====

No. 7
Computed, not measured: TaIn2Si after structural relaxation at the PBE level of DFT.

The structure in POSCAR format:
```
TaIn2Si
1.0
3.972 0.000 0.000
0.000 3.972 0.000
0.000 0.000 4.945
Ta In Si
1 2 1
direct
0.000 0.000 0.000
0.000 0.500 0.500
0.500 0.000 0.500
0.500 0.500 0.000
```

- formation energy without anion corrections (eV per atom) = 0.41
- space group = P4/mmm, No. 123
- density of states at the Fermi level (states/eV/f.u.) = 2.9

=====

No. 8
Computed, not measured: TaInSi4 after structural relaxation at the PBE level of DFT.

The structure in POSCAR format:
```
TaInSi4
1.0
0.000 3.609 3.609
3.609 0.000 3.609
3.609 3.609 0.000
Ta In Si
1 1 4
direct
0.000 0.000 0.000
0.750 0.750 0.750
0.374 0.374 0.374
0.374 0.374 0.878
0.374 0.878 0.374
0.878 0.374 0.374
```

- formation energy without anion corrections (eV per atom) = 0.38
- space group = F-43m, No. 216
- density of states at the Fermi level (states/eV/f.u.) = 6.2

=====

No. 9
Computed, not measured: TaInSi2 after structural relaxation at the PBE level of DFT.

The structure in POSCAR format:
```
TaInSi2
1.0
3.454 0.000 0.000
0.000 3.450 0.000
-0.029 0.000 5.931
Ta In Si
1 1 2
direct
0.000 0.000 0.000
0.000 0.000 0.500
0.499 0.500 0.792
0.501 0.500 0.208
```

- formation energy without anion corrections (eV per atom) = 0.03
- space group = P2/m, No. 10
- density of states at the Fermi level (states/eV/f.u.) = 1.5

=====

No. 10
Computed, not measured: TaInSi2 after structural relaxation at the PBE level of DFT.

The structure in POSCAR format:
```
TaInSi2
1.0
5.103 -1.461 0.000
5.103 1.461 0.000
-0.317 0.000 4.698
Ta In Si
1 1 2
direct
0.000 0.000 0.000
0.741 0.741 0.299
0.276 0.276 0.805
0.493 0.493 0.502
```

- formation energy without anion corrections (eV per atom) = 0.26
- space group = Cm, No. 8
- density of states at the Fermi level (states/eV/f.u.) = 2.2

=====

No. 11
Computed, not measured: TaIn2Si after structural relaxation at the PBE level of DFT.

The structure in POSCAR format:
```
TaIn2Si
1.0
2.018 -2.221 0.000
2.018 2.221 0.000
0.000 0.000 8.931
Ta In Si
1 2 1
direct
0.000 0.000 0.000
0.500 0.500 0.250
0.500 0.500 0.750
0.000 0.000 0.500
```

- formation energy without anion corrections (eV per atom) = 0.42
- space group = Cmmm, No. 65
- density of states at the Fermi level (states/eV/f.u.) = 2.2

=====

No. 12
Computed, not measured: TaInSi2 after structural relaxation at the PBE level of DFT.

The structure in POSCAR format:
```
TaInSi2
1.0
2.940 -4.459 0.000
2.940 4.459 0.000
-1.318 0.000 2.700
Ta In Si
1 1 2
direct
0.000 0.000 0.000
0.500 0.500 0.000
0.000 0.500 0.500
0.500 0.000 0.500
```

- formation energy without anion corrections (eV per atom) = 0.38
- space group = C2/m, No. 12
- density of states at the Fermi level (states/eV/f.u.) = 1.7

=====

No. 13
Computed, not measured: TaInSi2 after structural relaxation at the PBE level of DFT.

The structure in POSCAR format:
```
TaInSi2
1.0
-3.012 3.012 5.882
3.012 -3.012 5.882
3.012 3.012 -5.882
Ta In Si
2 2 4
direct
0.000 0.000 0.000
0.750 0.250 0.500
0.250 0.750 0.500
0.500 0.500 0.000
0.102 0.625 0.977
0.375 0.352 0.477
0.648 0.125 0.023
0.875 0.898 0.523
```

- formation energy without anion corrections (eV per atom) = 0.72
- space group = I-42d, No. 122
- density of states at the Fermi level (states/eV/f.u.) = 0.5

=====

No. 14
Computed, not measured: TaIn3Si after structural relaxation at the PBE level of DFT.

The structure in POSCAR format:
```
TaIn3Si
1.0
5.387 0.000 0.000
0.000 5.387 0.000
0.000 0.000 5.387
Ta In Si
1 3 1
direct
0.000 0.000 0.000
0.000 0.000 0.500
0.000 0.500 0.000
0.500 0.000 0.000
0.500 0.500 0.500
```

- formation energy without anion corrections (eV per atom) = 1.09
- space group = Pm-3m, No. 221
- density of states at the Fermi level (states/eV/f.u.) = 3.5
- distance to the lowest polymorph of the same formula (meV per atom) = 0